No. 1
HfZnIr2, optimized geometry, DFT PBE; E_form = -199 kJ/mol of formula units; density = 15.52 g/cm3
1.0
1.094 2.671 3.156
-2.684 -3.239 0.773
6.584 -4.993 1.942
Hf Ir Zn
2 4 2
Direct
0.333 0.667 0.250
0.667 0.333 0.750
0.667 0.333 0.095
0.667 0.333 0.405
0.333 0.667 0.595
0.333 0.667 0.905
0.000 0.000 0.000
0.000 0.000 0.500

No. 2
AlReC, optimized geometry, DFT PBE; total energy = -0.564 Ry/atom; density = 10.00 g/cm3
1.0
3.914 0.000 0.000
-1.957 3.390 0.000
0.000 0.000 8.458
Al C Re
3 3 3
Direct
0.333 0.667 0.076
0.000 0.000 0.568
0.333 0.667 0.719
0.667 0.333 0.928
0.667 0.333 0.319
0.667 0.333 0.762
0.333 0.667 0.399
0.000 0.000 0.252
0.000 0.000 0.933

No. 3
Dy3SbO3, optimized geometry, DFT PBE; total energy = -0.554 Ry/atom; density = 8.47 g/cm3
1.0
-5.528 -1.114 3.784
-5.710 -3.580 0.833
9.940 -4.973 3.542
O Dy Sb
6 6 2
Direct
0.337 0.337 0.486
0.311 0.311 0.091
0.689 0.689 0.909
0.936 0.936 0.308
0.663 0.663 0.514
0.064 0.064 0.692
0.343 0.343 0.293
0.120 0.120 0.942
0.880 0.880 0.058
0.128 0.128 0.401
0.657 0.657 0.707
0.872 0.872 0.599
0.617 0.617 0.179
0.383 0.383 0.821

No. 4
ZnCdCuB, optimized geometry, DFT PBE; total energy = -0.173 Ry/atom; density = 7.52 g/cm3
1.0
1.939 0.984 3.694
2.879 3.173 0.131
-0.944 3.669 2.005
Cu B Cd Zn
1 1 1 1
Direct
0.750 0.750 0.750
0.000 0.000 0.000
0.250 0.250 0.250
0.500 0.500 0.500

No. 5
ScTcSb, optimized geometry, DFT PBE; total energy = -0.523 Ry/atom; density = 6.85 g/cm3
1.0
-3.500 0.196 2.811
-0.723 3.708 2.433
-3.495 2.662 -0.945
Sc Tc Sb
1 1 1
Direct
0.750 0.750 0.750
0.000 0.000 0.000
0.250 0.250 0.250

No. 6
SrZrTe2, optimized geometry, DFT PBE; total energy = -0.308 Ry/atom; density = 6.25 g/cm3
1.0
5.255 -1.470 0.276
1.588 -3.802 3.589
1.552 -4.936 -1.756
Te Zr Sr
2 1 1
Direct
0.250 0.250 0.250
0.000 0.000 0.000
0.500 0.500 0.500
0.750 0.750 0.750

No. 7
HfBeMo2, optimized geometry, DFT PBE; total energy = -0.647 Ry/atom; density = 10.08 g/cm3
1.0
-1.905 0.383 4.008
-4.439 0.092 0.356
-2.164 -3.464 1.777
Hf Mo Be
1 2 1
Direct
0.250 0.250 0.250
0.750 0.750 0.750
0.000 0.000 0.000
0.500 0.500 0.500

No. 8
ErPd2O4, optimized geometry, DFT PBE; total energy = -0.452 Ry/atom; density = 7.88 g/cm3
1.0
4.540 -4.540 0.000
-4.540 0.000 -4.540
4.540 4.540 0.000
Pd O Er
4 8 2
Direct
0.375 0.750 0.625
0.375 0.750 0.125
0.875 0.250 0.625
0.375 0.250 0.625
0.157 0.771 0.385
0.593 0.729 0.865
0.136 0.271 0.865
0.135 0.729 0.864
0.615 0.771 0.386
0.614 0.229 0.385
0.135 0.271 0.407
0.615 0.229 0.843
0.750 0.500 0.250
0.000 0.000 0.000

No. 9
CsCo3P5, optimized geometry, DFT PBE; total energy = -0.415 Ry/atom; density = 4.40 g/cm3
1.0
-1.089 -4.713 0.663
4.118 1.254 -2.305
4.127 0.091 7.424
P Co Cs
5 3 1
Direct
0.333 0.667 0.709
0.333 0.667 0.291
0.000 0.000 0.500
0.667 0.333 0.291
0.667 0.333 0.709
0.500 0.000 0.500
0.000 0.500 0.500
0.500 0.500 0.500
0.000 0.000 0.000

No. 10
NdGdFe2Si4, optimized geometry, DFT PBE; total energy = -0.490 Ry/atom; density = 6.48 g/cm3
1.0
4.312 0.000 0.000
0.000 4.000 0.000
-1.894 0.000 7.814
Si Nd Fe Gd
4 1 2 1
Direct
0.454 0.500 0.900
0.176 0.000 0.498
0.828 0.500 0.507
0.543 0.000 0.096
0.101 0.500 0.204
0.619 0.000 0.392
0.385 0.500 0.610
0.895 0.000 0.793

No. 11
Gd2Er2CI5, optimized geometry, DFT PBE; total energy = -0.340 Ry/atom; density = 6.19 g/cm3
1.0
10.483 -1.980 0.000
10.483 1.980 0.000
-1.719 0.000 8.376
I Er Gd C
5 2 2 1
Direct
0.851 0.851 0.662
0.150 0.150 0.810
0.500 0.500 0.500
0.149 0.149 0.338
0.850 0.850 0.190
0.000 0.000 0.188
0.000 0.000 0.812
0.383 0.383 0.942
0.617 0.617 0.058
0.500 0.500 0.000

No. 12
Lu4PAuN2, optimized geometry, DFT PBE; total energy = -0.497 Ry/atom; density = 11.34 g/cm3
1.0
-0.765 1.858 2.837
-2.462 -0.652 -2.367
-3.253 -11.227 6.475
Lu N P Au
4 2 1 1
Direct
0.000 0.000 0.639
0.333 0.667 0.838
0.333 0.667 0.162
0.000 0.000 0.361
0.667 0.333 0.735
0.667 0.333 0.265
0.333 0.667 0.500
0.000 0.000 0.000